A relaxed LiTl2Hg12 crystal, computed with PBE.

Summary:
Crystal system: tetragonal
Energy relative to the elements in eV/atom: -0.0218
Total magnetization in μB/cell: 0.00
E_tot in eV/atom: -0.7063
Density of states at the Fermi level in states/eV per cell: 13.0

Unit cell a=6.170 b=6.170 c=22.329 alpha=90.00 beta=90.00 gamma=90.00
Atoms (fractional coordinates):
Li (0.250, 0.750, 0.000)
Li (0.750, 0.250, 0.000)
Tl (0.250, 0.750, 0.246)
Tl (0.250, 0.750, 0.754)
Tl (0.750, 0.250, 0.246)
Tl (0.750, 0.250, 0.754)
Hg (0.000, 0.000, 0.082)
Hg (0.000, 0.000, 0.918)
Hg (0.000, 0.500, 0.082)
Hg (0.000, 0.500, 0.918)
Hg (0.062, 0.562, 0.432)
Hg (0.062, 0.938, 0.568)
Hg (0.250, 0.250, 0.190)
Hg (0.250, 0.250, 0.328)
Hg (0.250, 0.250, 0.672)
Hg (0.250, 0.250, 0.810)
Hg (0.438, 0.562, 0.568)
Hg (0.438, 0.938, 0.432)
Hg (0.500, 0.000, 0.082)
Hg (0.500, 0.000, 0.918)
Hg (0.500, 0.500, 0.082)
Hg (0.500, 0.500, 0.918)
Hg (0.562, 0.062, 0.568)
Hg (0.562, 0.438, 0.432)
Hg (0.750, 0.750, 0.190)
Hg (0.750, 0.750, 0.328)
Hg (0.750, 0.750, 0.672)
Hg (0.750, 0.750, 0.810)
Hg (0.938, 0.062, 0.432)
Hg (0.938, 0.438, 0.568)